Record 1
A relaxed CuMo2Ru crystal. Source: Alexandria via LeMat-Bulk, functional PBE-GGA.

a b c (Å): 9.2123 9.2123 9.2123
angles (deg): 17.12 17.12 17.12
Last column: nearest neighbours and their distance in Å.
Positions (direct):
Cu (0.7517, 0.7517, 0.7517)  3 Ru 2.72, 3 Mo 2.74, 6 Cu 2.74
Mo (0.0031, 0.0031, 0.0031)  3 Cu 2.74, 9 Mo 2.74-2.94
Mo (0.2455, 0.2455, 0.2455)  3 Ru 2.67, 9 Mo 2.74-2.94
Ru (0.4997, 0.4997, 0.4997)  3 Mo 2.67, 3 Cu 2.72, 6 Ru 2.74

## Properties
Theoretical density (g/cm3): 10.016
Volume (Å³/cell): 59
Fermi-level density of states (states/eV/f.u.): 2.259
Total DFT energy (no corrections) (Ry/atom): -0.627



Record 2
A relaxed CaPtS crystal. Source: Alexandria via LeMat-Bulk, functional PBE-GGA.

a b c (Å): 3.8807 3.8631 10.2341
angles (deg): 90.00 90.00 120.15
Last column: nearest neighbours and their distance in Å.
Positions (direct):
Pt (0.5503, 0.1006, 0.0000)  2 S 2.29
Pt (0.2851, 0.5703, 0.5000)  6 Ca 2.90-2.96
Ca (0.6264, 0.2528, 0.3160)  3 S 2.83-2.85, 3 Pt 2.90-2.96
Ca (0.6264, 0.2528, 0.6840)  3 S 2.83-2.85, 3 Pt 2.90-2.96
S (0.2892, 0.5784, 0.8544)  1 Pt 2.29
S (0.2892, 0.5784, 0.1456)  1 Pt 2.29

## Properties
Theoretical density (g/cm3): 6.689
Volume (Å³/cell): 133
Fermi-level density of states (states/eV/f.u.): 0.790
Total DFT energy (no corrections) (Ry/atom): -0.343
Energy relative to the elements, uncorrected (eV per atom): -0.614



Record 3
A relaxed SrGa2S4 crystal. Source: Alexandria via LeMat-Bulk, functional PBE-GGA.

a b c (Å): 6.1002 6.1002 10.6421
angles (deg): 90.00 90.00 120.33
Last column: nearest neighbours and their distance in Å.
Positions (direct):
Sr (0.5000, 0.5000, 0.7500)  8 S 3.14-3.18
Sr (0.5000, 0.5000, 0.2500)  8 S 3.14-3.18
Ga (0.7648, 0.2378, 0.5000)  4 S 2.29-2.34
Ga (0.2352, 0.7622, 0.5000)  4 S 2.29-2.34
Ga (0.7622, 0.2352, 0.0000)  4 S 2.29-2.34
Ga (0.2378, 0.7648, 0.0000)  4 S 2.29-2.34
S (0.3563, 0.1835, 0.5000)  2 Ga 2.29-2.34
S (0.6437, 0.8165, 0.5000)  2 Ga 2.29-2.34
S (0.8165, 0.6437, 0.0000)  2 Ga 2.29-2.34
S (0.1835, 0.3563, 0.0000)  2 Ga 2.29-2.34
S (0.5000, 0.0000, 0.8360)  2 Ga 2.31
S (0.0000, 0.5000, 0.6640)  2 Ga 2.31
S (0.5000, 0.0000, 0.1640)  2 Ga 2.31
S (0.0000, 0.5000, 0.3360)  2 Ga 2.31

## Properties
Theoretical density (g/cm3): 3.452
Volume (Å³/cell): 342
Fermi-level density of states (states/eV/f.u.): 0.000
Total DFT energy (no corrections) (Ry/atom): -0.340
Energy relative to the elements, uncorrected (eV per atom): -1.164



Record 4
A relaxed InHgPb2 crystal. Source: Alexandria via LeMat-Bulk, functional PBE-GGA.

a b c (Å): 11.7982 11.7982 11.7982
angles (deg): 16.59 16.59 16.59
Last column: nearest neighbours and their distance in Å.
Positions (direct):
Pb (0.9988, 0.9988, 0.9988)  6 Pb 3.40, 3 Hg 3.48, 3 In 3.54
Pb (0.5012, 0.5012, 0.5012)  6 Pb 3.40, 3 Hg 3.48, 3 In 3.54
Hg (0.2500, 0.2500, 0.2500)  6 Hg 3.40, 6 Pb 3.48
In (0.7500, 0.7500, 0.7500)  6 In 3.40, 6 Pb 3.54

## Properties
Theoretical density (g/cm3): 10.381
Volume (Å³/cell): 117
Fermi-level density of states (states/eV/f.u.): 0.730
Total DFT energy (no corrections) (Ry/atom): -0.191



Record 5
A relaxed La5Tb3 crystal. Source: Alexandria via LeMat-Bulk, functional PBE-GGA.

a b c (Å): 3.7035 3.7035 20.4974
angles (deg): 90.00 90.00 90.00
Last column: nearest neighbours and their distance in Å.
Positions (direct):
La (0.0000, 0.0000, 0.2471)  4 Tb 3.66, 8 La 3.70-3.72
La (0.5000, 0.5000, 0.6243)  4 Tb 3.65, 8 La 3.70-3.72
La (0.5000, 0.5000, 0.3757)  4 Tb 3.65, 8 La 3.70-3.72
La (0.0000, 0.0000, 0.7529)  4 Tb 3.66, 8 La 3.70-3.72
La (0.0000, 0.0000, 0.0000)  8 Tb 3.62, 4 La 3.70
Tb (0.5000, 0.5000, 0.1222)  8 La 3.62-3.66, 4 Tb 3.70
Tb (0.5000, 0.5000, 0.8778)  8 La 3.62-3.66, 4 Tb 3.70
Tb (0.0000, 0.0000, 0.5000)  8 La 3.65, 4 Tb 3.70

## Properties
Theoretical density (g/cm3): 6.918
Volume (Å³/cell): 281
Fermi-level density of states (states/eV/f.u.): 15.472
Total DFT energy (no corrections) (Ry/atom): -0.352



Record 6
A relaxed BeAl2BW crystal. Source: Alexandria via LeMat-Bulk, functional PBE-GGA.

a b c (Å): 4.5535 3.2724 4.5535
angles (deg): 90.00 90.00 90.00
Last column: nearest neighbours and their distance in Å.
Positions (direct):
Be (0.0000, 0.0000, 0.0000)  2 B 1.64
B (0.0000, 0.5000, 0.0000)  2 Be 1.64
Al (0.0000, 0.0000, 0.5000)  2 Be 2.28
Al (0.5000, 0.0000, 0.0000)  2 Be 2.28
W (0.5000, 0.5000, 0.5000)  8 Al 2.80

## Properties
Theoretical density (g/cm3): 6.305
Volume (Å³/cell): 68
Fermi-level density of states (states/eV/f.u.): 3.624
Total DFT energy (no corrections) (Ry/atom): -0.385



Record 7
A relaxed ErThZr2 crystal. Source: Alexandria via LeMat-Bulk, functional PBE-GGA.

a b c (Å): 4.6914 4.7753 4.7753
angles (deg): 90.00 90.00 90.00
Last column: nearest neighbours and their distance in Å.
Positions (direct):
Zr (0.0000, 0.0000, 0.5000)  4 Th 3.35, 4 Er 3.35, 4 Zr 3.38
Zr (0.0000, 0.5000, 0.0000)  4 Th 3.35, 4 Er 3.35, 4 Zr 3.38
Th (0.5000, 0.5000, 0.5000)  8 Zr 3.35, 4 Er 3.38
Er (0.5000, 0.0000, 0.0000)  8 Zr 3.35, 4 Th 3.38

## Properties
Theoretical density (g/cm3): 9.030
Volume (Å³/cell): 107
Fermi-level density of states (states/eV/f.u.): 4.574
Total DFT energy (no corrections) (Ry/atom): -0.528



Record 8
A relaxed Ca2PmBi crystal. Source: Alexandria via LeMat-Bulk, functional PBE-GGA.

a b c (Å): 3.7317 3.7317 12.2418
angles (deg): 81.23 81.23 60.00
Last column: nearest neighbours and their distance in Å.
Positions (direct):
Ca (0.0981, 0.0981, 0.7057)  3 Bi 3.28, 1 Pm 3.55
Ca (0.9019, 0.9019, 0.2943)  3 Bi 3.28, 1 Pm 3.55
Bi (0.5000, 0.5000, 0.5000)  6 Ca 3.28
Pm (0.0000, 0.0000, 0.0000)  2 Ca 3.55, 6 Pm 3.73

## Properties
Theoretical density (g/cm3): 4.961
Volume (Å³/cell): 145
Fermi-level density of states (states/eV/f.u.): 5.095
Total DFT energy (no corrections) (Ry/atom): -0.237